Record 1
Crystalline LuBeInFe at its relaxed geometry. Source: OQMD, functional GGA-PBE.

Output
The value obtained for the energy above the most stable polymorph in this dataset is 0 meV per atom. Its density is 8.74 g/cm³. As for the crystal system: cubic. The space group is F-43m. The total energy comes out at -0.345 Ry per atom.

```
data_LuBeInFe
_chemical_formula_sum 'Lu1 Be1 In1 Fe1'
_cell_length_a 4.5670
_cell_length_b 4.5670
_cell_length_c 4.5670
_cell_angle_alpha 60.00
_cell_angle_beta 60.00
_cell_angle_gamma 60.00
_symmetry_space_group_name_H-M 'P 1'
_symmetry_Int_Tables_number 1
_symmetry_space_group_name_Hall 'P 1'
loop_
_atom_site_label
_atom_site_type_symbol
_atom_site_fract_x
_atom_site_fract_y
_atom_site_fract_z
Lu1 Lu 0.0000 0.0000 0.0000
Be1 Be 0.2500 0.2500 0.2500
In1 In 0.5000 0.5000 0.5000
Fe1 Fe 0.7500 0.7500 0.7500
```

---

Record 2
Crystalline AcZr5 at its relaxed geometry. Source: OQMD, functional GGA-PBE.

Output
Its density is 7.34 g/cm³. For the formation energy from the elements, the calculation gives 0.95 eV/f.u. As for the crystal system: hexagonal. The space group is P-62m. The total energy comes out at -0.562 Ry per atom.

```
data_AcZr5
_chemical_formula_sum 'Ac1 Zr5'
_cell_length_a 5.7686
_cell_length_b 5.7686
_cell_length_c 5.3625
_cell_angle_alpha 90.00
_cell_angle_beta 90.00
_cell_angle_gamma 120.00
_symmetry_space_group_name_H-M 'P 1'
_symmetry_Int_Tables_number 1
_symmetry_space_group_name_Hall 'P 1'
loop_
_atom_site_label
_atom_site_type_symbol
_atom_site_fract_x
_atom_site_fract_y
_atom_site_fract_z
Ac1 Ac 0.0000 0.0000 0.0000
Zr1 Zr 0.0000 0.6272 0.5000
Zr2 Zr 0.3333 0.6667 0.0000
Zr3 Zr 0.3728 0.3728 0.5000
Zr4 Zr 0.6272 0.0000 0.5000
Zr5 Zr 0.6667 0.3333 0.0000
```

---

Record 3
Crystalline ZnPbSO at its relaxed geometry. Source: OQMD, functional GGA-PBE.

Output
The value obtained for the energy above the most stable polymorph in this dataset is 62 meV per atom. Its density is 6.88 g/cm³. As for the crystal system: orthorhombic. The space group is P2_12_12_1. The total energy comes out at -0.324 Ry per atom.

```
data_ZnPbSO
_chemical_formula_sum 'Zn4 Pb4 S4 O4'
_cell_length_a 6.0699
_cell_length_b 6.7624
_cell_length_c 7.5442
_cell_angle_alpha 90.00
_cell_angle_beta 90.00
_cell_angle_gamma 90.00
_symmetry_space_group_name_H-M 'P 1'
_symmetry_Int_Tables_number 1
_symmetry_space_group_name_Hall 'P 1'
loop_
_atom_site_label
_atom_site_type_symbol
_atom_site_fract_x
_atom_site_fract_y
_atom_site_fract_z
Zn1 Zn 0.0546 0.1712 0.3924
Zn2 Zn 0.4454 0.8288 0.8924
Zn3 Zn 0.5546 0.3288 0.6076
Zn4 Zn 0.9454 0.6712 0.1076
Pb1 Pb 0.0743 0.5575 0.6384
Pb2 Pb 0.4257 0.4425 0.1384
Pb3 Pb 0.5743 0.9425 0.3616
Pb4 Pb 0.9257 0.0575 0.8616
S1 S 0.1220 0.8324 0.3472
S2 S 0.3780 0.1676 0.8472
S3 S 0.6220 0.6676 0.6528
S4 S 0.8780 0.3324 0.1528
O1 O 0.1387 0.7260 0.9024
O2 O 0.3613 0.2740 0.4024
O3 O 0.6387 0.7740 0.0976
O4 O 0.8613 0.2260 0.5976
```

---

Record 4
Crystalline Al2FeTe at its relaxed geometry. Source: OQMD, functional GGA-PBE.

Output
Its density is 5.83 g/cm³. As for the crystal system: cubic. The space group is F-43m. The total energy comes out at -0.317 Ry per atom.

```
data_Al2FeTe
_chemical_formula_sum 'Al2 Fe1 Te1'
_cell_length_a 4.5720
_cell_length_b 4.5720
_cell_length_c 4.5720
_cell_angle_alpha 60.00
_cell_angle_beta 60.00
_cell_angle_gamma 60.00
_symmetry_space_group_name_H-M 'P 1'
_symmetry_Int_Tables_number 1
_symmetry_space_group_name_Hall 'P 1'
loop_
_atom_site_label
_atom_site_type_symbol
_atom_site_fract_x
_atom_site_fract_y
_atom_site_fract_z
Al1 Al 0.0000 0.0000 0.0000
Al2 Al 0.2500 0.2500 0.2500
Fe1 Fe 0.7500 0.7500 0.7500
Te1 Te 0.5000 0.5000 0.5000
```